(1)
The following is a PBE calculation of crystalline Y2MgSnRh at its relaxed geometry, from the Alexandria database.

The space group is P4/mmm (No. 123) and the conventional cell measures 5.494, 5.494 and 4.499 Å, with angles of 90.00, 90.00 and 90.00 degrees. Symmetry generates all atoms from Y at (0.000, 0.500, 0.000), Mg at (0.000, 0.000, 0.000), Sn at (0.500, 0.500, 0.500) and Rh at (0.000, 0.000, 0.500).

The calculation puts the total DFT energy (no corrections) at -24.5 eV per cell. The formation energy is 276 meV/atom. The total magnetization comes out at 0.0000 μB/atom.

---

(2)
The following is a PBE calculation of crystalline CePuRhAu at its relaxed geometry, from the Alexandria database.

The space group is F-43m (No. 216) and the conventional cell measures 6.814, 6.814 and 6.814 Å, with angles of 90.00, 90.00 and 90.00 degrees. Symmetry generates all atoms from Ce at (0.000, 0.000, 0.000), Pu at (0.250, 0.250, 0.250), Rh at (0.250, 0.250, 0.750) and Au at (0.000, 0.000, 0.500).

The calculation puts the total DFT energy (no corrections) at -132.8 eV per cell. The formation energy is -575 meV/atom. The total magnetization comes out at 1.3325 μB/atom.

---

(3)
The following is a PBE calculation of crystalline La2PdSF at its relaxed geometry, from the Alexandria database.

The space group is P4/mmm (No. 123) and the conventional cell measures 5.525, 5.525 and 4.660 Å, with angles of 90.00, 90.00 and 90.00 degrees. Symmetry generates all atoms from La at (0.000, 0.500, 0.000), Pd at (0.000, 0.000, 0.000), S at (0.000, 0.000, 0.500) and F at (0.500, 0.500, 0.500).

The calculation puts the total DFT energy (no corrections) at -25.7 eV per cell. The value obtained for the uncorrected formation energy is -90.40 kJ/mol of atoms. The total magnetization comes out at 0.0000 μB/atom.

---

(4)
The following is a PBE calculation of crystalline MnIn2P at its relaxed geometry, from the Alexandria database.

The space group is P4mm (No. 99) and the conventional cell measures 2.985, 2.985 and 8.311 Å, with angles of 90.00, 90.00 and 90.00 degrees. Symmetry generates all atoms from Mn at (0.000, 0.000, 0.000), In at (0.000, 0.000, 0.404), In at (0.500, 0.500, 0.756) and P at (0.500, 0.500, 0.115).

The calculation puts the total DFT energy (no corrections) at -20.0 eV per cell. The formation energy is 23 meV/atom. The total magnetization comes out at 0.0486 μB/atom.

---

(5)
The following is a PBE calculation of crystalline In2GaBr2 at its relaxed geometry, from the Alexandria database.

The space group is Cm (No. 8) and the conventional cell measures 21.187, 4.189 and 7.365 Å, with angles of 90.00, 101.61 and 90.00 degrees. Symmetry generates all atoms from In at (0.000, 0.000, 0.000), In at (0.043, 0.500, 0.320), In at (0.267, 0.000, 0.080), In at (0.315, 0.500, 0.498), Ga at (0.050, 0.500, 0.790), Ga at (0.084, 0.000, 0.599), Br at (0.156, 0.500, 0.092), Br at (0.208, 0.000, 0.662), Br at (0.364, 0.500, 0.918) and Br at (0.426, 0.000, 0.498).

The calculation puts the total DFT energy (no corrections) at -56.2 eV per cell. The value obtained for the uncorrected formation energy is -42.61 kJ/mol of atoms. The total magnetization comes out at 0.0000 μB/atom.

---

(6)
The following is a PBE calculation of crystalline KSr2Ag9 at its relaxed geometry, from the Alexandria database.

The space group is R-3m (No. 166, hexagonal axes) and the conventional cell measures 5.8876, 5.8876 and 28.3155 Å, with angles of 90.00, 90.00 and 120.00 degrees. Symmetry generates all atoms from K at (0.0000, 0.0000, 0.0000), Sr at (0.0000, 0.0000, 0.1396), Ag at (0.0000, 0.0000, 0.3331), Ag at (0.0000, 0.0000, 0.5000) and Ag at (0.0022, 0.5011, 0.9170).

The calculation puts the total DFT energy (no corrections) at -94.7 eV per cell. The formation energy is -121 meV/atom. The total magnetization comes out at 0.0000 μB/atom.

---

(7)
The following is a PBE calculation of crystalline Ir2PdRh2 at its relaxed geometry, from the Alexandria database.

The space group is I4/mmm (No. 139) and the conventional cell measures 3.634, 3.634 and 12.352 Å, with angles of 90.00, 90.00 and 90.00 degrees. Symmetry generates all atoms from Ir at (0.000, 0.500, 0.250), Pd at (0.000, 0.000, 0.000) and Rh at (0.000, 0.000, 0.401).

The calculation puts the total DFT energy (no corrections) at -70.8 eV per cell. The formation energy is 440 meV/atom. The total magnetization comes out at 0.0000 μB/atom.

---

(8)
The following is a PBE calculation of crystalline DyInCu5 at its relaxed geometry, from the Alexandria database.

The space group is Pnma (No. 62) and the conventional cell measures 8.301, 5.014 and 10.537 Å, with angles of 90.00, 90.00 and 90.00 degrees. Symmetry generates all atoms from Dy at (0.249, 0.250, 0.063), In at (0.137, 0.750, 0.862), Cu at (0.053, 0.750, 0.104), Cu at (0.069, 0.001, 0.312), Cu at (0.082, 0.250, 0.516) and Cu at (0.186, 0.250, 0.741).

The calculation puts the total DFT energy (no corrections) at -117.4 eV per cell. The formation energy is -219 meV/atom. The total magnetization comes out at 0.0000 μB/atom.

---

(9)
The following is a PBE calculation of crystalline Pr2Er7Tm3 at its relaxed geometry, from the Alexandria database.

The space group is Cmmm (No. 65) and the conventional cell measures 5.640, 37.523 and 3.593 Å, with angles of 90.00, 90.00 and 90.00 degrees. Symmetry generates all atoms from Pr at (0.000, 0.147, 0.000), Er at (0.000, 0.000, 0.000), Er at (0.000, 0.070, 0.500), Er at (0.000, 0.231, 0.000), Er at (0.000, 0.412, 0.000), Tm at (0.000, 0.313, 0.500) and Tm at (0.000, 0.500, 0.500).

The calculation puts the total DFT energy (no corrections) at -106.9 eV per cell. The formation energy is 121 meV/atom. The total magnetization comes out at 0.0000 μB/atom.

---

(10)
The following is a PBE calculation of crystalline Tc2NiW at its relaxed geometry, from the Alexandria database.

The space group is P4/mmm (No. 123) and the conventional cell measures 2.709, 2.709 and 7.742 Å, with angles of 90.00, 90.00 and 90.00 degrees. Symmetry generates all atoms from Tc at (0.000, 0.000, 0.235), Ni at (0.500, 0.500, 0.000) and W at (0.500, 0.500, 0.500).

The calculation puts the total DFT energy (no corrections) at -38.8 eV per cell. The formation energy is 175 meV/atom. The total magnetization comes out at 0.0000 μB/atom.

---

(11)
The following is a PBE calculation of crystalline CaVH at its relaxed geometry, from the Alexandria database.

The space group is Pm (No. 6) and the conventional cell measures 5.294, 3.240 and 6.903 Å, with angles of 90.00, 106.69 and 90.00 degrees. Symmetry generates all atoms from Ca at (0.000, 0.000, 0.000), Ca at (0.214, 0.000, 0.510), V at (0.474, 0.500, 0.911), V at (0.594, 0.500, 0.196), H at (0.562, 0.000, 0.806) and H at (0.790, 0.000, 0.270).

The calculation puts the total DFT energy (no corrections) at -27.6 eV per cell. The total magnetization comes out at 0.0000 μB/atom.

---

(12)
The following is a PBE calculation of crystalline UHgPd2 at its relaxed geometry, from the Alexandria database.

The space group is Fm-3m (No. 225) and the conventional cell measures 6.827, 6.827 and 6.827 Å, with angles of 90.00, 90.00 and 90.00 degrees. Symmetry generates all atoms from U at (0.000, 0.000, 0.000), Hg at (0.000, 0.000, 0.500) and Pd at (0.250, 0.250, 0.250).

The calculation puts the total DFT energy (no corrections) at -91.6 eV per cell. The formation energy is -231 meV/atom. The total magnetization comes out at 0.6097 μB/atom.

---

(13)
The following is a PBE calculation of crystalline BaTm2Fe at its relaxed geometry, from the Alexandria database.

The space group is R-3m (No. 166, hexagonal axes) and the conventional cell measures 3.7449, 3.7449 and 31.6196 Å, with angles of 90.00, 90.00 and 120.00 degrees. Symmetry generates all atoms from Ba at (0.0000, 0.0000, 0.0000), Tm at (0.0000, 0.0000, 0.1180) and Fe at (0.0000, 0.0000, 0.5000).

The calculation puts the total DFT energy (no corrections) at -54.2 eV per cell. The formation energy is 317 meV/atom. The total magnetization comes out at 0.1867 μB/atom.

---

(14)
The following is a PBE calculation of crystalline PuCdInSb at its relaxed geometry, from the Alexandria database.

The space group is Pmmm (No. 47) and the conventional cell measures 4.450, 4.515 and 5.044 Å, with angles of 90.00, 90.00 and 90.00 degrees. Symmetry generates all atoms from Pu at (0.000, 0.000, 0.000), Cd at (0.000, 0.500, 0.500), In at (0.500, 0.000, 0.500) and Sb at (0.500, 0.500, 0.000).

The calculation puts the total DFT energy (no corrections) at -23.4 eV per cell. The value obtained for the uncorrected formation energy is -31.97 kJ/mol of atoms. The total magnetization comes out at 1.4133 μB/atom.

---

(15)
The following is a PBE calculation of crystalline La3ScO at its relaxed geometry, from the Alexandria database.

The space group is Pm-3m (No. 221) and the conventional cell measures 5.121, 5.121 and 5.121 Å, with angles of 90.00, 90.00 and 90.00 degrees. Symmetry generates all atoms from La at (0.000, 0.000, 0.500), Sc at (0.500, 0.500, 0.500) and O at (0.000, 0.000, 0.000).

The calculation puts the total DFT energy (no corrections) at -31.8 eV per cell. The value obtained for the uncorrected formation energy is -110.12 kJ/mol of atoms. The total magnetization comes out at 0.0000 μB/atom.

---

(16)
The following is a PBE calculation of crystalline Sm2TmHg at its relaxed geometry, from the Alexandria database.

The space group is Cmcm (No. 63) and the conventional cell measures 3.675, 12.600 and 10.269 Å, with angles of 90.00, 90.00 and 90.00 degrees. Symmetry generates all atoms from Sm at (0.000, 0.129, 0.043), Tm at (0.000, 0.452, 0.250) and Hg at (0.000, 0.252, 0.750).

The calculation puts the total DFT energy (no corrections) at -60.4 eV per cell. The formation energy is -221 meV/atom. The total magnetization comes out at 0.0000 μB/atom.

---

(17)
The following is a PBE calculation of crystalline Y4Hg3Au at its relaxed geometry, from the Alexandria database.

The space group is P4/mmm (No. 123) and the conventional cell measures 3.695, 3.695 and 14.808 Å, with angles of 90.00, 90.00 and 90.00 degrees. Symmetry generates all atoms from Y at (0.000, 0.000, 0.117), Y at (0.000, 0.000, 0.372), Hg at (0.500, 0.500, 0.248), Hg at (0.500, 0.500, 0.500) and Au at (0.500, 0.500, 0.000).

The calculation puts the total DFT energy (no corrections) at -34.8 eV per cell. The formation energy is -600 meV/atom. The total magnetization comes out at 0.0000 μB/atom.

---

(18)
The following is a PBE calculation of crystalline LiRhBr6 at its relaxed geometry, from the Alexandria database.

The space group is R-3 (No. 148, hexagonal axes) and the conventional cell measures 6.5414, 6.5414 and 16.7518 Å, with angles of 90.00, 90.00 and 120.00 degrees. Symmetry generates all atoms from Li at (0.0000, 0.0000, 0.0000), Rh at (0.0000, 0.0000, 0.5000) and Br at (0.0048, 0.6432, 0.0844).

The calculation puts the total DFT energy (no corrections) at -68.4 eV per cell. The value obtained for the uncorrected formation energy is -42.17 kJ/mol of atoms. The total magnetization comes out at 0.0000 μB/atom.

---

(19)
The following is a PBE calculation of crystalline Ce3SiAs at its relaxed geometry, from the Alexandria database.

The space group is C2/c (No. 15) and the conventional cell measures 11.510, 10.942 and 8.200 Å, with angles of 90.00, 91.17 and 90.00 degrees. Symmetry generates all atoms from Ce at (0.053, 0.104, 0.410), Ce at (0.102, 0.407, 0.587), Ce at (0.250, 0.180, 0.803), Si at (0.000, 0.173, 0.750), Si at (0.000, 0.356, 0.250) and As at (0.221, 0.055, 0.122).

The calculation puts the total DFT energy (no corrections) at -251.0 eV per cell. The value obtained for the uncorrected formation energy is -67.49 kJ/mol of atoms. The total magnetization comes out at 0.5693 μB/atom.

---

(20)
The following is a PBE calculation of crystalline FeTcB2 at its relaxed geometry, from the Alexandria database.

The space group is Fm-3m (No. 225) and the conventional cell measures 5.246, 5.246 and 5.246 Å, with angles of 90.00, 90.00 and 90.00 degrees. Symmetry generates all atoms from Fe at (0.000, 0.000, 0.000), Tc at (0.000, 0.000, 0.500) and B at (0.250, 0.250, 0.250).

The calculation puts the total DFT energy (no corrections) at -127.0 eV per cell. The formation energy is 109 meV/atom. The total magnetization comes out at 0.0003 μB/atom.

---

(21)
The following is a PBE calculation of crystalline K9Rb3Hg2 at its relaxed geometry, from the Alexandria database.

The space group is Immm (No. 71) and the conventional cell measures 6.257, 16.816 and 17.023 Å, with angles of 90.00, 90.00 and 90.00 degrees. Symmetry generates all atoms from K at (0.000, 0.000, 0.000), K at (0.000, 0.138, 0.370), K at (0.000, 0.207, 0.125), Rb at (0.000, 0.500, 0.000), Rb at (0.000, 0.500, 0.315) and Hg at (0.000, 0.334, 0.500).

The calculation puts the total DFT energy (no corrections) at -27.7 eV per cell. The formation energy is -33 meV/atom. The total magnetization comes out at 0.0000 μB/atom.

---

(22)
The following is a PBE calculation of crystalline V2HgBi at its relaxed geometry, from the Alexandria database.

The space group is I-42d (No. 122) and the conventional cell measures 4.446, 4.446 and 19.068 Å, with angles of 90.00, 90.00 and 90.00 degrees. Symmetry generates all atoms from V at (0.200, 0.250, 0.125), Hg at (0.000, 0.000, 0.000) and Bi at (0.000, 0.000, 0.500).

The calculation puts the total DFT energy (no corrections) at -75.8 eV per cell. The formation energy is 869 meV/atom. The total magnetization comes out at 1.3739 μB/atom.

---

(23)
The following is a PBE calculation of crystalline VAgTeN2 at its relaxed geometry, from the Alexandria database.

The space group is P4/mmm (No. 123) and the conventional cell measures 4.043, 4.043 and 5.542 Å, with angles of 90.00, 90.00 and 90.00 degrees. Symmetry generates all atoms from V at (0.000, 0.000, 0.000), Ag at (0.500, 0.500, 0.500), Te at (0.500, 0.500, 0.000) and N at (0.000, 0.500, 0.500).

The calculation puts the total DFT energy (no corrections) at -21.3 eV per cell. The value obtained for the uncorrected formation energy is 201.34 kJ/mol of atoms. The total magnetization comes out at 0.1151 μB/atom.

---

(24)
The following is a PBE calculation of crystalline HgS2I2 at its relaxed geometry, from the Alexandria database.

The space group is P4/mbm (No. 127) and the conventional cell measures 7.919, 7.919 and 5.034 Å, with angles of 90.00, 90.00 and 90.00 degrees. Symmetry generates all atoms from Hg at (0.000, 0.000, 0.000), S at (0.249, 0.251, 0.000) and I at (0.178, 0.322, 0.500).

The calculation puts the total DFT energy (no corrections) at -20.8 eV per cell. The value obtained for the uncorrected formation energy is 24.24 kJ/mol of atoms. The total magnetization comes out at 0.0000 μB/atom.